Sr3ScS PBE-GGA relaxed; space-group type = Pm-3m
1.0
-2.429 0.358 -5.631
-5.132 -2.689 2.043
-2.346 5.512 1.362
Sr Sc S
3 1 1
Direct
0.000 0.000 0.500 Sr
0.000 0.500 0.000 Sr
0.500 0.000 0.000 Sr
0.000 0.000 0.000 Sc
0.500 0.500 0.500 S

Li5Sn PBE-GGA relaxed; space-group type = P2_1/m; formation energy from the elements = -0.274 eV per atom
1.0
4.803 -1.281 0.000
-2.386 5.598 0.000
0.000 0.000 9.139
Li Sn
10 2
Direct
0.751 0.499 0.920 Li
0.249 0.501 0.420 Li
0.251 0.002 0.095 Li
0.749 0.002 0.250 Li
0.751 0.499 0.580 Li
0.251 0.002 0.405 Li
0.749 0.998 0.595 Li
0.249 0.501 0.080 Li
0.251 0.998 0.750 Li
0.749 0.998 0.905 Li
0.750 0.503 0.250 Sn
0.250 0.497 0.750 Sn

NaCd2PbN PBE-GGA relaxed; space-group type = P4/mmm
1.0
-1.693 -4.684 -1.983
0.828 -1.908 3.798
-4.982 1.106 1.641
N Cd Pb Na
1 2 1 1
Direct
0.000 0.500 0.000 N
0.000 0.000 0.500 Cd
0.500 0.000 0.000 Cd
0.500 0.500 0.500 Pb
0.000 0.000 0.000 Na

PrTm7Th2 PBE-GGA relaxed; space-group type = C2/m; formation energy from the elements = 0.425 eV per atom
1.0
5.547 2.254 1.560
2.453 9.027 0.088
2.453 3.261 8.419
Tm Th Pr
7 2 1
Direct
0.000 0.335 0.665 Tm
0.500 0.500 0.500 Tm
0.000 0.665 0.335 Tm
0.251 0.925 0.570 Tm
0.749 0.075 0.430 Tm
0.251 0.570 0.925 Tm
0.749 0.430 0.075 Tm
0.500 0.838 0.162 Th
0.500 0.162 0.838 Th
0.000 0.000 0.000 Pr

CaCdSeN2 PBE-GGA relaxed; space-group type = P4/mmm
1.0
-0.509 -4.489 0.012
4.488 -0.508 0.104
-0.133 0.031 5.900
N Cd Se Ca
2 1 1 1
Direct
0.000 0.500 0.000 N
0.500 0.000 0.000 N
0.500 0.500 0.500 Cd
0.000 0.000 0.500 Se
0.000 0.000 0.000 Ca

Hf3TaSb2 PBE-GGA relaxed; space-group type = C2/c
1.0
-3.765 1.096 -4.384
4.247 -3.464 -4.512
-2.222 -5.069 4.587
Sb Hf Ta
4 6 2
Direct
0.637 0.069 0.278 Sb
0.640 0.569 0.278 Sb
0.360 0.431 0.722 Sb
0.363 0.931 0.722 Sb
0.180 0.589 0.355 Hf
0.825 0.911 0.645 Hf
0.175 0.089 0.355 Hf
0.820 0.411 0.645 Hf
0.767 0.750 0.000 Hf
0.233 0.250 0.000 Hf
0.763 0.250 0.000 Ta
0.237 0.750 0.000 Ta

| no. | total DFT energy (no corrections) (eV/atom) |
| --- | --- |
| 1 | -2.4922 |
| 2 | -2.5355 |
| 3 | -2.0092 |
| 4 | -4.6670 |
| 5 | -3.5479 |
| 6 | -8.5953 |